# 1
SrLiOs: optimized geometry, PBE-GGA.

Lattice parameters (Å, degrees): 4.5702 4.5702 4.5702 60.00 60.00 60.00
Sites, in units of the cell vectors:
Sr  0.0000  0.0000  0.0000
Li  0.7500  0.7500  0.7500
Os  0.5000  0.5000  0.5000

Output
space-group type	F-43m
crystal system	cubic
E above lowest polymorph	0	meV per atom


# 2
Co4Re11: optimized geometry, PBE-GGA.

Lattice parameters (Å, degrees): 9.4290 9.4290 4.7694 90.00 90.00 90.00
Sites, in units of the cell vectors:
Co  0.1821  0.1821  0.2492
Co  0.1821  0.1821  0.7508
Co  0.3179  0.6821  0.2508
Co  0.3179  0.6821  0.7492
Co  0.6821  0.3179  0.2508
Co  0.6821  0.3179  0.7492
Co  0.8179  0.8179  0.2492
Co  0.8179  0.8179  0.7508
Re  0.0000  0.0000  0.5000
Re  0.0359  0.6347  0.0000
Re  0.0677  0.7377  0.5000
Re  0.0985  0.9015  0.0000
Re  0.1347  0.4641  0.5000
Re  0.2377  0.4323  0.0000
Re  0.2623  0.9323  0.5000
Re  0.3653  0.9641  0.0000
Re  0.4015  0.4015  0.5000
Re  0.4323  0.2377  0.0000
Re  0.4641  0.1347  0.5000
Re  0.5000  0.5000  0.0000
Re  0.5359  0.8653  0.5000
Re  0.5677  0.7623  0.0000
Re  0.5985  0.5985  0.5000
Re  0.6347  0.0359  0.0000
Re  0.7377  0.0677  0.5000
Re  0.7623  0.5677  0.0000
Re  0.8653  0.5359  0.5000
Re  0.9015  0.0985  0.0000
Re  0.9323  0.2623  0.5000
Re  0.9641  0.3653  0.0000

Output
space-group type	P4_2/mnm
crystal system	tetragonal
E above lowest polymorph	0	meV per atom
energy of formation	0.12	eV per atom


# 3
Cs2Re2O5: optimized geometry, PBE-GGA.

Lattice parameters (Å, degrees): 3.9036 3.9036 9.3415 90.00 90.00 90.00
Sites, in units of the cell vectors:
Cs  0.0000  0.0000  0.0000
Cs  0.0000  0.0000  0.5000
Re  0.5000  0.5000  0.2265
Re  0.5000  0.5000  0.7735
O  0.0000  0.5000  0.2403
O  0.0000  0.5000  0.7597
O  0.5000  0.0000  0.2403
O  0.5000  0.0000  0.7597
O  0.5000  0.5000  0.0000

Output
space-group type	P4/mmm
crystal system	tetragonal
VASP energy	-6.854	eV per atom


# 4
MgAgSeO: optimized geometry, PBE-GGA.

Lattice parameters (Å, degrees): 3.7898 3.7898 11.6946 90.00 90.00 120.00
Sites, in units of the cell vectors:
Mg  0.0000  0.0000  0.0000
Mg  0.0000  0.0000  0.5000
Ag  0.3333  0.6667  0.2724
Ag  0.6667  0.3333  0.7724
Se  0.3333  0.6667  0.6200
Se  0.6667  0.3333  0.1200
O  0.0000  0.0000  0.3384
O  0.0000  0.0000  0.8384

Output
space-group type	P6_3mc
crystal system	hexagonal
E above lowest polymorph	517	meV per atom


# 5
PrHIBr: optimized geometry, PBE-GGA.

Lattice parameters (Å, degrees): 4.1133 4.1133 15.4194 90.00 90.00 120.00
Sites, in units of the cell vectors:
Pr  0.0000  0.0000  0.2404
Pr  0.0000  0.0000  0.7596
H  0.3333  0.6667  0.2441
H  0.6667  0.3333  0.7559
I  0.3333  0.6667  0.6171
I  0.6667  0.3333  0.3829
Br  0.3333  0.6667  0.8841
Br  0.6667  0.3333  0.1159

Output
space-group type	P-3m1
crystal system	trigonal
VASP energy	-4.220	eV per atom


# 6
TcNiBIr: optimized geometry, PBE-GGA.

Lattice parameters (Å, degrees): 4.0187 4.0187 4.0187 60.00 60.00 60.00
Sites, in units of the cell vectors:
Tc  0.0000  0.0000  0.0000
Ni  0.2500  0.2500  0.2500
B  0.7500  0.7500  0.7500
Ir  0.5000  0.5000  0.5000

Output
space-group type	F-43m
crystal system	cubic
E above lowest polymorph	0	meV per atom


# 7
Cd2OF2: optimized geometry, PBE-GGA.

Lattice parameters (Å, degrees): 6.0069 6.0069 6.0069 123.61 81.73 126.18
Sites, in units of the cell vectors:
Cd  0.1111  0.2322  0.3434
Cd  0.3889  0.7322  0.1211
Cd  0.6111  0.2678  0.8789
Cd  0.8889  0.7678  0.6566
O  0.2500  0.2500  0.0000
O  0.7500  0.7500  0.0000
F  0.1514  0.6093  0.7608
F  0.3486  0.1093  0.4579
F  0.6514  0.8907  0.5421
F  0.8486  0.3907  0.2392

Output
space-group type	Ibam
crystal system	orthorhombic
E above lowest polymorph	0	meV per atom


# 8
CoMo3CN: optimized geometry, PBE-GGA.

Lattice parameters (Å, degrees): 2.9280 2.9280 18.8613 90.00 90.00 120.00
Sites, in units of the cell vectors:
Co  0.0000  0.0000  0.2469
Co  0.0000  0.0000  0.7531
Mo  0.0000  0.0000  0.0000
Mo  0.0000  0.0000  0.5000
Mo  0.3333  0.6667  0.6452
Mo  0.3333  0.6667  0.8642
Mo  0.6667  0.3333  0.1358
Mo  0.6667  0.3333  0.3548
C  0.3333  0.6667  0.0717
C  0.6667  0.3333  0.9283
N  0.3333  0.6667  0.4250
N  0.6667  0.3333  0.5750

Output
space-group type	P-3m1
crystal system	trigonal
VASP energy	-9.373	eV per atom